Record 1
Dy12Er3Sc, relaxed, DFT PBE-GGA; ΔH_f (0 K) = 0.40 eV per formula unit; space-group type = P4/mmm; calculated density = 8.41 Mg/m³
1.0
4.981 0.000 0.000
0.000 4.981 0.000
0.000 0.000 19.865
Dy Er Sc
12 3 1
Cartesian
0.000 0.000 0.000 Dy
0.000 0.000 4.920 Dy
0.000 0.000 9.933 Dy
0.000 0.000 14.945 Dy
0.000 2.490 2.419 Dy
0.000 2.490 7.428 Dy
0.000 2.490 12.437 Dy
0.000 2.490 17.446 Dy
2.490 0.000 2.419 Dy
2.490 0.000 7.428 Dy
2.490 0.000 12.437 Dy
2.490 0.000 17.446 Dy
2.490 2.490 4.930 Er
2.490 2.490 9.933 Er
2.490 2.490 14.935 Er
2.490 2.490 0.000 Sc



Record 2
Cr4Fe, relaxed, DFT PBE-GGA; excess energy over the best structure of this formula in the dataset = 0.030 eV/atom; ΔH_f (0 K) = 0.39 eV per formula unit; space-group type = I4/m; calculated density = 7.66 Mg/m³
1.0
-3.162 3.162 1.431
3.162 -3.162 1.431
3.162 3.162 -1.431
Cr Fe
4 1
Cartesian
1.918 0.662 0.000 Cr
2.499 -1.243 1.431 Cr
0.662 4.405 0.000 Cr
1.243 2.499 1.431 Cr
0.000 0.000 1.431 Fe